Ba3GaBr2: optimized geometry, PBE-GGA.

Cell: 9.929 9.929 11.758 Å, 109.18 109.18 26.67°
Atoms (fractional coordinates):
Ba1 0.025 0.025 0.301
Ba2 0.319 0.319 0.362
Ba3 0.369 0.369 0.964
Ba4 0.631 0.631 0.036
Ba5 0.681 0.681 0.638
Ba6 0.975 0.975 0.699
Ga1 0.000 0.000 0.000
Ga2 0.500 0.500 0.500
Br1 0.179 0.179 0.847
Br2 0.314 0.314 0.649
Br3 0.686 0.686 0.351
Br4 0.821 0.821 0.153

Results
**VASP energy**: -3.20 eV/atom
**D(E_F)**: 4.7 states/eV/f.u.
**Symmetry**: C2/m
**Density**: 4.35 g cm⁻³
**Calculated volume**: 40.82 Å³ per atom

***

BaGa2Br2: optimized geometry, PBE-GGA.

Cell: 6.236 6.236 6.236 Å, 122.99 122.99 84.89°
Atoms (fractional coordinates):
Ba1 0.000 0.000 0.000
Ga1 0.353 0.353 0.000
Ga2 0.647 0.647 0.000
Br1 0.250 0.750 0.500
Br2 0.750 0.250 0.500

Results
**VASP energy**: -2.94 eV/atom
**D(E_F)**: 3.2 states/eV/f.u.
**Symmetry**: I4/mmm
**Density**: 4.45 g cm⁻³
**Energy above the lowest structure with this stoichiometry**: 0.000 eV/atom
**Calculated volume**: 32.60 Å³ per atom

***

BaGa6Br12: optimized geometry, PBE-GGA.

Cell: 10.502 10.502 10.502 Å, 109.17 109.17 109.17°
Atoms (fractional coordinates):
Ba1 0.000 0.000 0.000
Ga1 0.293 0.418 0.498
Ga2 0.418 0.498 0.293
Ga3 0.498 0.293 0.418
Ga4 0.502 0.707 0.582
Ga5 0.582 0.502 0.707
Ga6 0.707 0.582 0.502
Br1 0.045 0.180 0.344
Br2 0.180 0.344 0.045
Br3 0.223 0.632 0.557
Br4 0.344 0.045 0.180
Br5 0.368 0.443 0.777
Br6 0.443 0.777 0.368
Br7 0.557 0.223 0.632
Br8 0.632 0.557 0.223
Br9 0.656 0.955 0.820
Br10 0.777 0.368 0.443
Br11 0.820 0.656 0.955
Br12 0.955 0.820 0.656

Results
**VASP energy**: -2.92 eV/atom
**Symmetry**: R-3
**Density**: 2.79 g cm⁻³
**Calculated volume**: 47.45 Å³ per atom

***

BaGa2Br2: optimized geometry, PBE-GGA.

Cell: 8.257 8.257 4.914 Å, 90.00 90.00 90.00°
Atoms (fractional coordinates):
Ba1 0.000 0.000 0.000
Ba2 0.500 0.500 0.000
Ga1 0.110 0.390 0.000
Ga2 0.390 0.890 0.000
Ga3 0.610 0.110 0.000
Ga4 0.890 0.610 0.000
Br1 0.249 0.251 0.500
Br2 0.251 0.751 0.500
Br3 0.749 0.249 0.500
Br4 0.751 0.749 0.500

Results
**VASP energy**: -2.88 eV/atom
**D(E_F)**: 1.1 states/eV/f.u.
**Symmetry**: P4/mbm
**Density**: 4.33 g cm⁻³
**Energy above the lowest structure with this stoichiometry**: 0.058 eV/atom
**Calculated volume**: 33.50 Å³ per atom

***

Ba2GaBr: optimized geometry, PBE-GGA.

Cell: 9.496 9.496 9.496 Å, 27.60 27.60 27.60°
Atoms (fractional coordinates):
Ba1 0.000 0.000 0.000
Ba2 0.175 0.175 0.175
Ga1 0.587 0.587 0.587
Br1 0.755 0.755 0.755

Results
**VASP energy**: -3.06 eV/atom
**D(E_F)**: 3.1 states/eV/f.u.
**Symmetry**: R3m
**Density**: 4.34 g cm⁻³
**Energy above the lowest structure with this stoichiometry**: 0.043 eV/atom
**Calculated volume**: 40.57 Å³ per atom

***

BaGa2Br6: optimized geometry, PBE-GGA.

Cell: 9.264 9.264 9.264 Å, 48.79 48.79 48.79°
Atoms (fractional coordinates):
Ba1 0.000 0.000 0.000
Ga1 0.283 0.283 0.283
Ga2 0.382 0.382 0.382
Br1 0.151 0.379 0.732
Br2 0.193 0.981 0.559
Br3 0.379 0.732 0.151
Br4 0.559 0.193 0.981
Br5 0.732 0.151 0.379
Br6 0.981 0.559 0.193

Results
**VASP energy**: -3.25 eV/atom
**D(E_F)**: 0.0 states/eV/f.u.
**Symmetry**: R3
**Density**: 3.04 g cm⁻³
**Energy above the lowest structure with this stoichiometry**: 0.000 eV/atom
**Calculated volume**: 45.88 Å³ per atom

***

Ba2Ga2Br: optimized geometry, PBE-GGA.

Cell: 9.649 9.649 9.649 Å, 27.26 27.26 27.26°
Atoms (fractional coordinates):
Ba1 0.084 0.084 0.084
Ba2 0.916 0.916 0.916
Ga1 0.329 0.329 0.329
Ga2 0.671 0.671 0.671
Br1 0.500 0.500 0.500

Results
**VASP energy**: -3.33 eV/atom
**D(E_F)**: 2.5 states/eV/f.u.
**Symmetry**: R-3m
**Density**: 4.93 g cm⁻³
**Calculated volume**: 33.25 Å³ per atom

***

BaGaBr5: optimized geometry, PBE-GGA.

Cell: 7.966 7.979 11.049 Å, 108.16 108.10 94.47°
Atoms (fractional coordinates):
Ba1 0.000 0.000 0.000
Ba2 0.500 0.500 0.500
Ga1 0.101 0.398 0.750
Ga2 0.899 0.602 0.250
Br1 0.192 0.258 0.564
Br2 0.193 0.713 0.816
Br3 0.214 0.692 0.315
Br4 0.243 0.307 0.935
Br5 0.363 0.137 0.250
Br6 0.637 0.863 0.750
Br7 0.757 0.693 0.065
Br8 0.786 0.308 0.685
Br9 0.807 0.287 0.184
Br10 0.808 0.742 0.436

Results
**VASP energy**: -3.28 eV/atom
**D(E_F)**: 0.0 states/eV/f.u.
**Symmetry**: P-1
**Density**: 3.24 g cm⁻³
**Calculated volume**: 44.45 Å³ per atom